Entry 1:
# GGA-PBE Li6MgIn2, optimized geometry
# DFT formation energy, eV per atom: -0.19
# ρ, g/cm³: 2.89
data_Li6MgIn2
_symmetry_space_group_name_H-M 'C 1 2/m 1'
_symmetry_Int_Tables_number 12
_cell_length_a 14.019
_cell_length_b 8.093
_cell_length_c 2.995
_cell_angle_alpha 90.00
_cell_angle_beta 90.03
_cell_angle_gamma 90.00
loop_
_symmetry_equiv_pos_as_xyz
'x,y,z'
'-x,-y,-z'
'-x,y,-z'
'x,-y,z'
'x+1/2,y+1/2,z'
'-x+1/2,-y+1/2,-z'
'-x+1/2,y+1/2,-z'
'x+1/2,-y+1/2,z'
loop_
_atom_site_label
_atom_site_fract_x
_atom_site_fract_y
_atom_site_fract_z
_atom_site_occupancy
Li1 0.000 0.162 0.000 1
Li2 0.169 0.331 0.998 1
Mg1 0.000 0.500 0.500 1
In1 0.167 0.000 0.500 1

=====

Entry 2:
# GGA-PBE La2TcBr, optimized geometry
# Uncorrected formation energy, eV/atom: -0.624
# ρ, g/cm³: 6.95
data_La2TcBr
_symmetry_space_group_name_H-M 'C 1 m 1'
_symmetry_Int_Tables_number 8
_cell_length_a 17.044
_cell_length_b 3.568
_cell_length_c 3.587
_cell_angle_alpha 90.00
_cell_angle_beta 93.04
_cell_angle_gamma 90.00
loop_
_symmetry_equiv_pos_as_xyz
'x,y,z'
'x,-y,z'
'x+1/2,y+1/2,z'
'x+1/2,-y+1/2,z'
loop_
_atom_site_label
_atom_site_fract_x
_atom_site_fract_y
_atom_site_fract_z
_atom_site_occupancy
La1 0.000 0.000 0.000 1
La2 0.205 0.000 0.904 1
Tc1 0.106 0.500 0.443 1
Br1 0.365 0.000 0.452 1

=====

Number 1: excess energy over the best structure of this formula in the dataset 0.000 eV per atom. Number 2: excess energy over the best structure of this formula in the dataset 0.028 eV per atom.